Record 1
Compound: Sc2Ni9Sn
Source: the Alexandria database
Functional: PBE
Structure: optimized geometry

Cell lengths 4.8085, 4.8085, 8.4636 Å; angles 73.50, 73.50, 60.00 degrees
Last column: nearest neighbours and their distance in Å.
Positions (direct):
Sc1 0.8614 0.8614 0.4157  12 Ni 2.72-2.96
Sc2 0.1386 0.1386 0.5843  12 Ni 2.72-2.96
Ni1 0.6665 0.6665 0.0005  6 Ni 2.47-2.48
Ni2 0.3335 0.3335 0.9995  6 Ni 2.47-2.48
Ni3 0.5000 0.5000 0.5000  6 Ni 2.40
Ni4 0.4131 0.4131 0.2561  7 Ni 2.38-2.48
Ni5 0.9178 0.4131 0.2561  7 Ni 2.38-2.48
Ni6 0.4131 0.9178 0.2561  7 Ni 2.38-2.48
Ni7 0.5869 0.5869 0.7439  7 Ni 2.38-2.48
Ni8 0.5869 0.0822 0.7439  7 Ni 2.38-2.48
Ni9 0.0822 0.5869 0.7439  7 Ni 2.38-2.48
Sn1 0.0000 0.0000 0.0000  6 Ni 2.78

Summary:
As for the formation energy: -294 meV per atom. Its space group is R-3m. Its crystal system is trigonal. The calculation puts the total energy at -72.230 eV per cell.

---

Record 2
Compound: V2FePdAu
Source: the Alexandria database
Functional: PBE
Structure: optimized geometry

Cell lengths 4.1772, 4.6965, 4.1772 Å; angles 90.00, 90.00, 90.00 degrees
Last column: nearest neighbours and their distance in Å.
Positions (direct):
Au1 0.5000 0.5000 0.5000  4 Pd 2.95, 8 V 3.14
Fe1 0.0000 0.0000 0.0000  4 V 2.09
Pd1 0.0000 0.5000 0.0000  2 Fe 2.35
V1 0.0000 0.0000 0.5000  2 Fe 2.09
V2 0.5000 0.0000 0.0000  2 Fe 2.09

Summary:
As for the formation energy: 639 meV per atom. Its space group is P4/mmm. Its crystal system is tetragonal. The calculation puts the total energy at -31.974 eV per cell.

---

Record 3
Compound: Ca2MoAu
Source: the Alexandria database
Functional: PBE
Structure: optimized geometry

Cell lengths 5.3204, 5.3204, 5.6714 Å; angles 76.72, 76.72, 35.45 degrees
Last column: nearest neighbours and their distance in Å.
Positions (direct):
Mo1 0.2500 0.2500 0.2500  6 Ca 3.10-3.12, 2 Mo 3.24, 4 Au 3.27
Au1 0.7500 0.7500 0.7500  6 Ca 2.98-3.28, 2 Au 3.24, 4 Mo 3.27
Ca1 0.0096 0.0096 0.9999  3 Au 2.98-3.28, 3 Mo 3.10-3.12, 6 Ca 3.23-3.31
Ca2 0.4904 0.4904 0.5001  3 Au 2.98-3.28, 3 Mo 3.10-3.12, 6 Ca 3.23-3.31

Summary:
As for the formation energy: 469 meV per atom. Its space group is C2/m. Its crystal system is monoclinic. The calculation puts the total energy at -16.234 eV per cell.

---

Record 4
Compound: Sm4DyTh3
Source: the Alexandria database
Functional: PBE
Structure: optimized geometry

Cell lengths 5.0739, 10.2309, 10.1615 Å; angles 90.00, 90.00, 90.00 degrees
Last column: nearest neighbours and their distance in Å.
Positions (direct):
Th1 0.5644 0.6210 0.0000  2 Dy 3.54, 6 Th 3.56-3.57, 4 Sm 3.56-3.58
Th2 0.0644 0.6200 0.2478  3 Dy 3.51-3.61, 5 Th 3.53-3.57, 4 Sm 3.55-3.63
Th3 0.5644 0.3800 0.2522  3 Dy 3.51-3.61, 5 Th 3.53-3.57, 4 Sm 3.55-3.63
Th4 0.0644 0.3790 0.5000  2 Dy 3.54, 6 Th 3.56-3.57, 4 Sm 3.56-3.58
Th5 0.5644 0.3800 0.7478  3 Dy 3.51-3.61, 5 Th 3.53-3.57, 4 Sm 3.55-3.63
Th6 0.0644 0.6200 0.7522  3 Dy 3.51-3.61, 5 Th 3.53-3.57, 4 Sm 3.55-3.63
Sm1 0.0644 0.8652 0.0000  4 Th 3.55-3.56, 8 Sm 3.58-3.73
Sm2 0.5644 0.1287 0.0000  8 Sm 3.60-3.70, 2 Dy 3.61, 2 Th 3.63
Sm3 0.0644 0.1314 0.2510  3 Th 3.58-3.59, 8 Sm 3.58-3.73, 1 Dy 3.60
Sm4 0.5644 0.8686 0.2490  3 Th 3.58-3.59, 8 Sm 3.58-3.73, 1 Dy 3.60
Sm5 0.0644 0.8713 0.5000  8 Sm 3.60-3.70, 2 Dy 3.61, 2 Th 3.63
Sm6 0.5644 0.1348 0.5000  4 Th 3.55-3.56, 8 Sm 3.58-3.73
Sm7 0.5644 0.8686 0.7510  3 Th 3.58-3.59, 8 Sm 3.58-3.73, 1 Dy 3.60
Sm8 0.0644 0.1314 0.7490  3 Th 3.58-3.59, 8 Sm 3.58-3.73, 1 Dy 3.60
Dy1 0.0644 0.3803 0.0000  8 Th 3.51-3.61, 4 Sm 3.60-3.61
Dy2 0.5644 0.6197 0.5000  8 Th 3.51-3.61, 4 Sm 3.60-3.61

Summary:
As for the formation energy: 35 meV per atom. Its space group is Pmmn. Its crystal system is orthorhombic. The calculation puts the total energy at -90.917 eV per cell.